Entry 1:
Computed, not measured: MgInPb at its PBEsol-relaxed geometry at the SCAN level of DFT.

extended XYZ file:
```
3
Lattice="3.313 0.000 0.000 0.000 3.313 0.000 -1.656 -1.656 6.980" Properties=species:S:1:pos:R:3 pbc="T T T"
Pb 0.000 0.000 4.550
Mg 1.656 1.656 2.272
In 0.000 0.000 0.157
```

Summary:
- electronic total energy (eV per formula unit) = -114.3
- M_tot (μB per formula unit) = 0.00
- SG = I4mm, No. 107

Entry 2:
Computed, not measured: MgInPb at its PBEsol-relaxed geometry at the SCAN level of DFT.

extended XYZ file:
```
3
Lattice="3.374 0.000 0.000 0.000 5.159 0.000 0.000 -2.580 4.468" Properties=species:S:1:pos:R:3 pbc="T T T"
Pb 1.079 2.580 1.489
Mg 2.345 0.000 2.979
In 3.323 0.000 0.000
```

Summary:
- electronic total energy (eV per formula unit) = -114.1
- M_tot (μB per formula unit) = 0.00
- SG = P3m1, No. 156

Entry 3:
Computed, not measured: MgIn2Pb at its PBEsol-relaxed geometry at the SCAN level of DFT.

extended XYZ file:
```
4
Lattice="3.626 0.000 0.000 0.000 5.346 0.000 0.000 0.000 5.346" Properties=species:S:1:pos:R:3 pbc="T T T"
Mg 1.813 2.673 2.673
In 0.000 0.000 2.673
In 0.000 2.673 0.000
Pb 1.813 0.000 0.000
```

Summary:
- electronic total energy (eV per formula unit) = -147.4
- M_tot (μB per formula unit) = 0.00
- SG = P4/mmm, No. 123

Number 1: theoretical density 7.5 g/cm³. Number 2: theoretical density 7.4 g/cm³. Number 3: theoretical density 7.4 g/cm³.